[1]
A relaxed Ru4Pb2F crystal. Source: Alexandria via LeMat-Bulk, functional GGA-PBE.

Computed properties:
DOS at the Fermi energy in states/eV per cell: 21.752
ρ in g/cm³: 11.26
E_form (uncorrected) in eV/atom: 0.86

a = 4.117 Å, b = 4.117 Å, c = 14.573 Å
α = 90.00°, β = 90.00°, γ = 90.00°
Space group I4/mmm (No. 139)
Unique sites:
Ru 0.000 0.000 0.174 [4 per cell]
Ru 0.000 0.500 0.000 [4 per cell]
Pb 0.000 0.000 0.357 [4 per cell]
F 0.000 0.000 0.000 [2 per cell]



[2]
A relaxed RuPb2F8 crystal. Source: Alexandria via LeMat-Bulk, functional GGA-PBE.

Computed properties:
DOS at the Fermi energy in states/eV per cell: 5.882
ρ in g/cm³: 5.97
E_form (uncorrected) in eV/atom: -2.12

a = 10.565 Å, b = 7.712 Å, c = 4.841 Å
α = 90.00°, β = 109.63°, γ = 90.00°
Space group C2/m (No. 12)
Unique sites:
Ru 0.000 0.000 0.000 [2 per cell]
Pb 0.155 0.500 0.350 [4 per cell]
F 0.083 0.500 0.807 [4 per cell]
F 0.115 0.000 0.772 [4 per cell]
F 0.121 0.178 0.255 [8 per cell]



[3]
A relaxed RuPbF2 crystal. Source: Alexandria via LeMat-Bulk, functional GGA-PBE.

Computed properties:
DOS at the Fermi energy in states/eV per cell: 11.120
Energy above the most stable polymorph in this dataset in eV/f.u.: 1.214
ρ in g/cm³: 9.20
E_form (uncorrected) in eV/atom: -0.51

a = 6.299 Å, b = 6.299 Å, c = 6.299 Å
α = 90.00°, β = 90.00°, γ = 90.00°
Space group Fm-3m (No. 225)
Unique sites:
Ru 0.000 0.000 0.000 [4 per cell]
Pb 0.000 0.000 0.500 [4 per cell]
F 0.250 0.250 0.250 [8 per cell]



[4]
A relaxed Ru3PbF crystal. Source: Alexandria via LeMat-Bulk, functional GGA-PBE.

Computed properties:
DOS at the Fermi energy in states/eV per cell: 7.954
Energy above the most stable polymorph in this dataset in eV/f.u.: 5.713
ρ in g/cm³: 6.59
E_form (uncorrected) in eV/atom: 2.10

a = 5.110 Å, b = 5.110 Å, c = 5.110 Å
α = 90.00°, β = 90.00°, γ = 90.00°
Space group Pm-3m (No. 221)
Unique sites:
Ru 0.000 0.000 0.500 [3 per cell]
Pb 0.000 0.000 0.000 [1 per cell]
F 0.500 0.500 0.500 [1 per cell]



[5]
A relaxed Ru3PbF crystal. Source: Alexandria via LeMat-Bulk, functional GGA-PBE.

Computed properties:
DOS at the Fermi energy in states/eV per cell: 8.807
Energy above the most stable polymorph in this dataset in eV/f.u.: 0.000
ρ in g/cm³: 11.03
E_form (uncorrected) in eV/atom: 0.95

a = 4.303 Å, b = 4.303 Å, c = 4.303 Å
α = 90.00°, β = 90.00°, γ = 90.00°
Space group Pm-3m (No. 221)
Unique sites:
Ru 0.000 0.000 0.500 [3 per cell]
Pb 0.500 0.500 0.500 [1 per cell]
F 0.000 0.000 0.000 [1 per cell]



[6]
A relaxed RuPbF2 crystal. Source: Alexandria via LeMat-Bulk, functional GGA-PBE.

Computed properties:
DOS at the Fermi energy in states/eV per cell: 6.577
Energy above the most stable polymorph in this dataset in eV/f.u.: 0.000
ρ in g/cm³: 8.58
E_form (uncorrected) in eV/atom: -0.82

a = 3.0756 Å, b = 3.0756 Å, c = 24.5515 Å
α = 90.00°, β = 90.00°, γ = 120.00°
Space group R-3m (No. 166, hexagonal axes)
Unique sites:
Ru 0.0000 0.0000 0.0000 [3 per cell]
Pb 0.0000 0.0000 0.5000 [3 per cell]
F 0.0000 0.0000 0.0819 [6 per cell]



[7]
A relaxed RuPbF2 crystal. Source: Alexandria via LeMat-Bulk, functional GGA-PBE.

Computed properties:
DOS at the Fermi energy in states/eV per cell: 15.592
Energy above the most stable polymorph in this dataset in eV/f.u.: 0.365
ρ in g/cm³: 8.65
E_form (uncorrected) in eV/atom: -0.73

a = 4.110 Å, b = 4.110 Å, c = 15.747 Å
α = 90.00°, β = 90.00°, γ = 90.00°
Space group I-42d (No. 122)
Unique sites:
Ru 0.000 0.000 0.000 [4 per cell]
Pb 0.000 0.000 0.500 [4 per cell]
F 0.200 0.250 0.125 [8 per cell]



[8]
A relaxed SnRu2PbF crystal. Source: Alexandria via LeMat-Bulk, functional GGA-PBE.

Computed properties:
DOS at the Fermi energy in states/eV per cell: 4.777
ρ in g/cm³: 9.75
E_form (uncorrected) in eV/atom: 0.60

a = 4.534 Å, b = 4.534 Å, c = 4.531 Å
α = 90.00°, β = 90.00°, γ = 90.00°
Space group P4/mmm (No. 123)
Unique sites:
Sn 0.000 0.000 0.000 [1 per cell]
Ru 0.000 0.500 0.500 [2 per cell]
Pb 0.500 0.500 0.000 [1 per cell]
F 0.000 0.000 0.500 [1 per cell]



[9]
A relaxed TaRu2PbF crystal. Source: Alexandria via LeMat-Bulk, functional GGA-PBE.

Computed properties:
DOS at the Fermi energy in states/eV per cell: 8.064
ρ in g/cm³: 7.42
E_form (uncorrected) in eV/atom: 2.20

a = 5.050 Å, b = 5.050 Å, c = 5.347 Å
α = 90.00°, β = 90.00°, γ = 90.00°
Space group P4/mmm (No. 123)
Unique sites:
Ta 0.000 0.000 0.000 [1 per cell]
Ru 0.000 0.500 0.500 [2 per cell]
Pb 0.000 0.000 0.500 [1 per cell]
F 0.500 0.500 0.000 [1 per cell]



[10]
A relaxed TiRu2PbF crystal. Source: Alexandria via LeMat-Bulk, functional GGA-PBE.

Computed properties:
DOS at the Fermi energy in states/eV per cell: 3.649
Energy above the most stable polymorph in this dataset in eV/f.u.: 0.000
ρ in g/cm³: 9.11
E_form (uncorrected) in eV/atom: -0.16

a = 4.771 Å, b = 4.771 Å, c = 3.812 Å
α = 90.00°, β = 90.00°, γ = 90.00°
Space group P4/mmm (No. 123)
Unique sites:
Ti 0.000 0.000 0.000 [1 per cell]
Ru 0.000 0.500 0.000 [2 per cell]
Pb 0.500 0.500 0.500 [1 per cell]
F 0.000 0.000 0.500 [1 per cell]



[11]
A relaxed TiRu2PbF crystal. Source: Alexandria via LeMat-Bulk, functional GGA-PBE.

Computed properties:
DOS at the Fermi energy in states/eV per cell: 5.546
Energy above the most stable polymorph in this dataset in eV/f.u.: 3.248
ρ in g/cm³: 9.41
E_form (uncorrected) in eV/atom: 0.49

a = 4.214 Å, b = 4.214 Å, c = 4.734 Å
α = 90.00°, β = 90.00°, γ = 90.00°
Space group P4/mmm (No. 123)
Unique sites:
Ti 0.000 0.000 0.000 [1 per cell]
Ru 0.000 0.500 0.500 [2 per cell]
Pb 0.500 0.500 0.000 [1 per cell]
F 0.500 0.500 0.500 [1 per cell]



[12]
A relaxed Tl2RuPbF8 crystal. Source: Alexandria via LeMat-Bulk, functional GGA-PBE.

Computed properties:
DOS at the Fermi energy in states/eV per cell: 2.475
ρ in g/cm³: 5.88
E_form (uncorrected) in eV/atom: -1.93

a = 5.133 Å, b = 7.490 Å, c = 6.384 Å
α = 90.00°, β = 91.91°, γ = 90.00°
Space group P2/m (No. 10)
Unique sites:
Tl 0.000 0.239 0.000 [2 per cell]
Ru 0.500 0.000 0.500 [1 per cell]
Pb 0.500 0.500 0.500 [1 per cell]
F 0.154 0.500 0.238 [2 per cell]
F 0.186 0.000 0.334 [2 per cell]
F 0.373 0.199 0.678 [4 per cell]



[13]
A relaxed PbSF2 crystal. Source: Alexandria via LeMat-Bulk, functional GGA-PBE.

Computed properties:
DOS at the Fermi energy in states/eV per cell: 15.118
Energy above the most stable polymorph in this dataset in eV/f.u.: 0.476
ρ in g/cm³: 6.90
E_form (uncorrected) in eV/atom: -0.89

a = 6.438 Å, b = 6.438 Å, c = 6.438 Å
α = 90.00°, β = 90.00°, γ = 90.00°
Space group Fm-3m (No. 225)
Unique sites:
Pb 0.000 0.000 0.000 [4 per cell]
S 0.000 0.000 0.500 [4 per cell]
F 0.250 0.250 0.250 [8 per cell]



[14]
A relaxed PbSF3 crystal. Source: Alexandria via LeMat-Bulk, functional GGA-PBE.

Computed properties:
DOS at the Fermi energy in states/eV per cell: 6.659
Energy above the most stable polymorph in this dataset in eV/f.u.: 0.000
ρ in g/cm³: 4.89
E_form (uncorrected) in eV/atom: -1.09

a = 4.652 Å, b = 4.652 Å, c = 4.652 Å
α = 90.00°, β = 90.00°, γ = 90.00°
Space group Pm-3m (No. 221)
Unique sites:
Pb 0.000 0.000 0.000 [1 per cell]
S 0.500 0.500 0.500 [1 per cell]
F 0.000 0.000 0.500 [3 per cell]



[15]
A relaxed PbSF2 crystal. Source: Alexandria via LeMat-Bulk, functional GGA-PBE.

Computed properties:
DOS at the Fermi energy in states/eV per cell: 7.035
Energy above the most stable polymorph in this dataset in eV/f.u.: 0.107
ρ in g/cm³: 6.47
E_form (uncorrected) in eV/atom: -0.98

a = 4.205 Å, b = 4.205 Å, c = 16.099 Å
α = 90.00°, β = 90.00°, γ = 90.00°
Space group I-42d (No. 122)
Unique sites:
Pb 0.000 0.000 0.000 [4 per cell]
S 0.000 0.000 0.500 [4 per cell]
F 0.225 0.250 0.625 [8 per cell]



[16]
A relaxed PbSF crystal. Source: Alexandria via LeMat-Bulk, functional GGA-PBE.

Computed properties:
DOS at the Fermi energy in states/eV per cell: 2.235
Energy above the most stable polymorph in this dataset in eV/f.u.: 0.337
ρ in g/cm³: 6.52
E_form (uncorrected) in eV/atom: -1.22

a = 4.187 Å, b = 4.661 Å, c = 6.948 Å
α = 90.00°, β = 104.07°, γ = 90.00°
Space group P2_1/m (No. 11)
Unique sites:
Pb 0.170 0.250 0.297 [2 per cell]
S 0.433 0.750 0.009 [2 per cell]
F 0.201 0.750 0.460 [2 per cell]



[17]
A relaxed Pb6SF8 crystal. Source: Alexandria via LeMat-Bulk, functional GGA-PBE.

Computed properties:
DOS at the Fermi energy in states/eV per cell: 15.085
ρ in g/cm³: 7.74
E_form (uncorrected) in eV/atom: -1.80

a = 7.0865 Å, b = 7.0865 Å, c = 21.1245 Å
α = 90.00°, β = 90.00°, γ = 120.00°
Space group R-3 (No. 148, hexagonal axes)
Unique sites:
Pb 0.0031 0.3193 0.2510 [18 per cell]
S 0.0000 0.0000 0.0000 [3 per cell]
F 0.0000 0.0000 0.3671 [6 per cell]
F 0.0223 0.3027 0.1310 [18 per cell]



[18]
A relaxed Pb2SF8 crystal. Source: Alexandria via LeMat-Bulk, functional GGA-PBE.

Computed properties:
DOS at the Fermi energy in states/eV per cell: 0.000
ρ in g/cm³: 4.34
E_form (uncorrected) in eV/atom: -1.91

a = 9.360 Å, b = 12.077 Å, c = 4.383 Å
α = 90.00°, β = 112.41°, γ = 90.00°
Space group Cm (No. 8)
Unique sites:
Pb 0.000 0.155 0.000 [4 per cell]
S 0.459 0.000 0.160 [2 per cell]
F 0.100 0.409 0.227 [4 per cell]
F 0.161 0.000 0.184 [2 per cell]
F 0.348 0.500 0.872 [2 per cell]
F 0.359 0.091 0.874 [4 per cell]
F 0.410 0.307 0.416 [4 per cell]



[19]
A relaxed PbSF6 crystal. Source: Alexandria via LeMat-Bulk, functional GGA-PBE.

Computed properties:
DOS at the Fermi energy in states/eV per cell: 0.000
ρ in g/cm³: 5.34
E_form (uncorrected) in eV/atom: -1.72

a = 6.318 Å, b = 7.370 Å, c = 4.850 Å
α = 90.00°, β = 103.34°, γ = 90.00°
Space group C2/m (No. 12)
Unique sites:
Pb 0.000 0.000 0.000 [2 per cell]
S 0.000 0.500 0.500 [2 per cell]
F 0.104 0.326 0.778 [8 per cell]
F 0.222 0.000 0.572 [4 per cell]



[20]
A relaxed Pb3S2F crystal. Source: Alexandria via LeMat-Bulk, functional GGA-PBE.

Computed properties:
DOS at the Fermi energy in states/eV per cell: 4.787
ρ in g/cm³: 6.36
E_form (uncorrected) in eV/atom: -0.75

a = 4.945 Å, b = 12.105 Å, c = 6.148 Å
α = 90.00°, β = 90.00°, γ = 90.00°
Space group Imm2 (No. 44)
Unique sites:
Pb 0.000 0.000 0.000 [2 per cell]
Pb 0.000 0.359 0.959 [4 per cell]
S 0.000 0.185 0.267 [4 per cell]
F 0.000 0.500 0.600 [2 per cell]



[21]
A relaxed PbSF2 crystal. Source: Alexandria via LeMat-Bulk, functional GGA-PBE.

Computed properties:
DOS at the Fermi energy in states/eV per cell: 6.993
Energy above the most stable polymorph in this dataset in eV/f.u.: 0.647
ρ in g/cm³: 6.21
E_form (uncorrected) in eV/atom: -0.85

a = 3.2897 Å, b = 3.2897 Å, c = 23.7453 Å
α = 90.00°, β = 90.00°, γ = 120.00°
Space group R-3m (No. 166, hexagonal axes)
Unique sites:
Pb 0.0000 0.0000 0.0000 [3 per cell]
S 0.0000 0.0000 0.5000 [3 per cell]
F 0.0000 0.0000 0.4200 [6 per cell]



[22]
A relaxed Pb3SF crystal. Source: Alexandria via LeMat-Bulk, functional GGA-PBE.

Computed properties:
DOS at the Fermi energy in states/eV per cell: 4.171
Energy above the most stable polymorph in this dataset in eV/f.u.: 0.000
ρ in g/cm³: 8.15
E_form (uncorrected) in eV/atom: -0.28

a = 5.155 Å, b = 5.155 Å, c = 5.155 Å
α = 90.00°, β = 90.00°, γ = 90.00°
Space group Pm-3m (No. 221)
Unique sites:
Pb 0.000 0.000 0.500 [3 per cell]
S 0.500 0.500 0.500 [1 per cell]
F 0.000 0.000 0.000 [1 per cell]



[23]
A relaxed PbSF3 crystal. Source: Alexandria via LeMat-Bulk, functional GGA-PBE.

Computed properties:
DOS at the Fermi energy in states/eV per cell: 2.727
Energy above the most stable polymorph in this dataset in eV/f.u.: 1.371
ρ in g/cm³: 5.69
E_form (uncorrected) in eV/atom: -0.82

a = 4.423 Å, b = 4.423 Å, c = 4.423 Å
α = 90.00°, β = 90.00°, γ = 90.00°
Space group Pm-3m (No. 221)
Unique sites:
Pb 0.000 0.000 0.000 [1 per cell]
S 0.500 0.500 0.500 [1 per cell]
F 0.000 0.500 0.500 [3 per cell]



[24]
A relaxed PbSF crystal. Source: Alexandria via LeMat-Bulk, functional GGA-PBE.

Computed properties:
Energy above the most stable polymorph in this dataset in eV/f.u.: 0.000
ρ in g/cm³: 6.76
E_form (uncorrected) in eV/atom: -1.33

a = 13.566 Å, b = 6.128 Å, c = 6.101 Å
α = 90.00°, β = 90.00°, γ = 90.00°
Space group Cmce (No. 64)
Unique sites:
Pb 0.143 0.000 0.000 [8 per cell]
S 0.000 0.121 0.379 [8 per cell]
F 0.250 0.240 0.750 [8 per cell]



[25]
A relaxed PbSF2 crystal. Source: Alexandria via LeMat-Bulk, functional GGA-PBE.

Computed properties:
DOS at the Fermi energy in states/eV per cell: 4.104
Energy above the most stable polymorph in this dataset in eV/f.u.: 0.000
ρ in g/cm³: 4.87
E_form (uncorrected) in eV/atom: -1.01

a = 3.9297 Å, b = 3.9297 Å, c = 21.2160 Å
α = 90.00°, β = 90.00°, γ = 120.00°
Space group R-3m (No. 166, hexagonal axes)
Unique sites:
Pb 0.0000 0.0000 0.0000 [3 per cell]
S 0.0000 0.0000 0.5000 [3 per cell]
F 0.0000 0.0000 0.2854 [6 per cell]



[26]
A relaxed PbSF crystal. Source: Alexandria via LeMat-Bulk, functional GGA-PBE.

Computed properties:
DOS at the Fermi energy in states/eV per cell: 3.098
Energy above the most stable polymorph in this dataset in eV/f.u.: 1.258
ρ in g/cm³: 6.62
E_form (uncorrected) in eV/atom: -0.91

a = 4.0687 Å, b = 4.0687 Å, c = 4.5166 Å
α = 90.00°, β = 90.00°, γ = 120.00°
Space group P3m1 (No. 156)
Unique sites:
Pb 0.0000 0.0000 0.0000 [1 per cell]
S 0.6667 0.3333 0.6781 [1 per cell]
F 0.3333 0.6667 0.1968 [1 per cell]